Entry 1:
Material: KSc2Co
Method: DFT, PBE
State: relaxed

Lattice parameters (Å, degrees): 3.534 3.686 8.826 77.81 90.00 90.00
Positions (direct):
Co 0.000 0.756 0.363
K 0.500 0.579 0.715
Sc 0.000 0.892 0.093
Sc 0.500 0.273 0.328

Results
energy of formation from the pure elements = 0.8 eV per formula unit
crystal system = monoclinic
M_tot = 0.00 Bohr magnetons per cell
density of states at the Fermi level = 0.962 states/eV per atom
ΔE to the lowest computed polymorph = 3.11 kcal/mol of atoms

---

Entry 2:
Material: KSc2Co
Method: DFT, PBE
State: relaxed

Lattice parameters (Å, degrees): 10.366 10.366 10.366 20.58 20.58 20.58
Positions (direct):
Sc 0.876 0.876 0.876
Sc 0.124 0.124 0.124
K 0.000 0.000 0.000
Co 0.500 0.500 0.500

Results
energy of formation from the pure elements = 0.5 eV per formula unit
crystal system = trigonal
M_tot = 0.00 Bohr magnetons per cell
density of states at the Fermi level = 0.778 states/eV per atom
ΔE to the lowest computed polymorph = 1.40 kcal/mol of atoms